The following is a DFT calculation (PBE-GGA) of crystalline Sc2CrAu at its relaxed geometry.

Cell and atoms, written as POSCAR:
```
Sc2CrAu
1.0
-3.2403 -3.2810 -1.0970
0.7912 -3.0099 -3.5752
0.8601 -4.5738 0.8988
Au Sc Cr
1 2 1
direct
0.5000 0.5000 0.5000
0.2500 0.2500 0.2500
0.0000 0.0000 0.0000
0.7500 0.7500 0.7500
```

Values from the calculation:
- calculated formation energy (eV/atom) = -0.10
- spin magnetization (Bohr magnetons per cell) = 4.94

The following is a DFT calculation (PBE-GGA) of crystalline AlIrRu3 at its relaxed geometry.

Cell and atoms, written as POSCAR:
```
AlIrRu3
1.0
4.6797 0.0000 0.0000
0.0000 4.6797 0.0000
0.0000 0.0000 4.6797
Ir Ru Al
1 3 1
direct
0.0000 0.0000 0.0000
0.5000 0.0000 0.0000
0.0000 0.5000 0.0000
0.0000 0.0000 0.5000
0.5000 0.5000 0.5000
```

Values from the calculation:
- calculated formation energy (eV/atom) = 1.62
- spin magnetization (Bohr magnetons per cell) = 0.59
- offset from the most stable computed form (meV per atom) = 306

The following is a DFT calculation (PBE-GGA) of crystalline ZnHg3 at its relaxed geometry.

Cell and atoms, written as POSCAR:
```
ZnHg3
1.0
-3.0244 -1.7802 3.0187
4.3540 -4.9358 -2.0978
2.3762 -0.0404 2.3568
Hg Zn
3 1
direct
0.9464 0.8928 0.0536
0.2500 0.5000 0.2500
0.5536 0.1072 0.4464
0.7500 0.5000 0.7500
```

Values from the calculation:
- calculated formation energy (eV/atom) = 0.08
- spin magnetization (Bohr magnetons per cell) = 0.00
- offset from the most stable computed form (meV per atom) = 8

The following is a DFT calculation (PBE-GGA) of crystalline YP2PtCl at its relaxed geometry.

Cell and atoms, written as POSCAR:
```
YP2PtCl
1.0
4.7121 0.0000 0.0000
0.0000 4.7121 0.0000
0.0000 0.0000 4.8724
P Pt Cl Y
2 1 1 1
direct
0.0000 0.5000 0.0000
0.5000 0.0000 0.0000
0.0000 0.0000 0.0000
0.0000 0.0000 0.5000
0.5000 0.5000 0.5000
```

Values from the calculation:
- formation energy from raw total energies (meV/atom) = -198.7
- spin magnetization (Bohr magnetons per cell) = 0.00
- offset from the most stable computed form (meV per atom) = 0

> What is the spin magnetization in the third record?

0.00 Bohr magnetons per cell

Please write out number 4 again, unchanged.
The following is a DFT calculation (PBE-GGA) of crystalline YP2PtCl at its relaxed geometry.

Cell and atoms, written as POSCAR:
```
YP2PtCl
1.0
4.7121 0.0000 0.0000
0.0000 4.7121 0.0000
0.0000 0.0000 4.8724
P Pt Cl Y
2 1 1 1
direct
0.0000 0.5000 0.0000
0.5000 0.0000 0.0000
0.0000 0.0000 0.0000
0.0000 0.0000 0.5000
0.5000 0.5000 0.5000
```

Values from the calculation:
- formation energy from raw total energies (meV/atom) = -198.7
- spin magnetization (Bohr magnetons per cell) = 0.00
- offset from the most stable computed form (meV per atom) = 0

> What is the spin magnetization in the first record?

4.94 Bohr magnetons per cell

> Number 2 is which compound?

AlIrRu3